Here is a crystal of BeCd2Mo relaxed with PBEsol from Alexandria. Energies are from SCAN.

Summary:
Energy of formation from the pure elements ... 0.645 eV per atom
N(E_F) ... 2.243 states/eV/f.u.
Raw total energy ... -24.371 eV/atom

Lattice parameters (Å, degrees): 4.0286 4.0286 4.8633 114.47 114.47 90.00
Element x y z (fractional)
Mo  0.5000  0.5000  0.0000
Be  0.2500  0.7500  0.5000
Cd  0.0000  0.0000  0.0000
Cd  0.7500  0.2500  0.5000